Entry from the Alexandria database: a PBEsol-optimized structure of BeBN2 (SCAN). Values from VASP.

Structure (Quantum ESPRESSO input):
```
&SYSTEM
  ibrav = 0, nat = 4, ntyp = 3
/
ATOMIC_SPECIES
N 14.01 N.upf
B 10.81 B.upf
Be 9.01 Be.upf
ATOMIC_POSITIONS crystal
N 0.104 0.104 0.687
B 0.500 0.500 0.500
Be 0.000 0.000 0.000
N 0.896 0.896 0.313
CELL_PARAMETERS angstrom
-1.999 -1.574 0.336
0.063 -2.378 -0.962
1.362 -2.967 4.001
```

Results
Energy relative to the elements, uncorrected   0.3541 eV per atom
Space group   R-3m, No. 166



Entry from the Alexandria database: a PBEsol-optimized structure of Sr3Hg2 (SCAN). Values from VASP.

Structure (Quantum ESPRESSO input):
```
&SYSTEM
  ibrav = 0, nat = 10, ntyp = 2
/
ATOMIC_SPECIES
Sr 87.62 Sr.upf
Hg 200.59 Hg.upf
ATOMIC_POSITIONS crystal
Sr 0.500 0.344 0.156
Sr 0.500 0.656 0.844
Hg 0.000 0.862 0.638
Hg 0.000 0.362 0.862
Sr 0.000 0.000 0.000
Hg 0.000 0.138 0.362
Sr 0.500 0.156 0.656
Sr 0.000 0.500 0.500
Sr 0.500 0.844 0.344
Hg 0.000 0.638 0.138
CELL_PARAMETERS angstrom
-1.982 -3.845 1.221
4.181 -4.211 -6.476
6.683 -1.720 5.433
```

Results
ΔH_f (0 K)   -0.584 eV/atom
Space group   P4/mbm, No. 127



Entry from the Alexandria database: a PBEsol-optimized structure of IrCl (SCAN). Values from VASP.

Structure (Quantum ESPRESSO input):
```
&SYSTEM
  ibrav = 0, nat = 4, ntyp = 2
/
ATOMIC_SPECIES
Ir 192.22 Ir.upf
Cl 35.45 Cl.upf
ATOMIC_POSITIONS crystal
Ir 0.333 0.667 0.599
Cl 0.667 0.333 0.810
Ir 0.667 0.333 0.401
Cl 0.333 0.667 0.190
CELL_PARAMETERS angstrom
3.338 0.000 0.000
-1.669 2.891 0.000
0.000 0.000 7.905
```

Results
Energy relative to the elements, uncorrected   0.3526 eV per atom
Space group   P-3m1, No. 164



Entry from the Alexandria database: a PBEsol-optimized structure of Ca2TaCl (SCAN). Values from VASP.

Structure (Quantum ESPRESSO input):
```
&SYSTEM
  ibrav = 0, nat = 4, ntyp = 3
/
ATOMIC_SPECIES
Ca 40.08 Ca.upf
Cl 35.45 Cl.upf
Ta 180.95 Ta.upf
ATOMIC_POSITIONS crystal
Ca 0.750 0.500 0.750
Cl 0.500 0.000 0.500
Ca 0.250 0.500 0.250
Ta 0.000 0.000 0.000
CELL_PARAMETERS angstrom
-4.048 2.535 -2.346
-0.984 -4.013 3.397
-2.120 1.030 4.771
```

Results
Energy relative to the elements, uncorrected   0.4998 eV per atom
Space group   I4/mmm, No. 139



Entry from the Alexandria database: a PBEsol-optimized structure of RbAsIN2 (SCAN). Values from VASP.

Structure (Quantum ESPRESSO input):
```
&SYSTEM
  ibrav = 0, nat = 5, ntyp = 4
/
ATOMIC_SPECIES
N 14.01 N.upf
Rb 85.47 Rb.upf
I 126.90 I.upf
As 74.92 As.upf
ATOMIC_POSITIONS crystal
N 0.000 0.500 0.000
N 0.500 0.000 0.000
Rb 0.000 0.000 0.000
I 0.000 0.000 0.500
As 0.500 0.500 0.500
CELL_PARAMETERS angstrom
5.160 0.000 0.000
0.000 5.160 0.000
0.000 0.000 7.244
```

Results
Energy relative to the elements, uncorrected   1.9809 eV per atom
Space group   P4/mmm, No. 123



Entry from the Alexandria database: a PBEsol-optimized structure of Ba4SiP (SCAN). Values from VASP.

Structure (Quantum ESPRESSO input):
```
&SYSTEM
  ibrav = 0, nat = 6, ntyp = 3
/
ATOMIC_SPECIES
Si 28.09 Si.upf
Ba 137.33 Ba.upf
P 30.97 P.upf
ATOMIC_POSITIONS crystal
Si 0.000 0.000 0.000
Ba 0.376 0.376 0.873
Ba 0.376 0.873 0.376
Ba 0.873 0.376 0.376
Ba 0.376 0.376 0.376
P 0.750 0.750 0.750
CELL_PARAMETERS angstrom
6.676 0.000 0.000
3.338 5.781 0.000
3.338 1.927 5.451
```

Results
Energy relative to the elements, uncorrected   0.5439 eV per atom
Space group   F-43m, No. 216



Entry from the Alexandria database: a PBEsol-optimized structure of YCrP2 (SCAN). Values from VASP.

Structure (Quantum ESPRESSO input):
```
&SYSTEM
  ibrav = 0, nat = 4, ntyp = 3
/
ATOMIC_SPECIES
P 30.97 P.upf
Y 88.91 Y.upf
Cr 52.00 Cr.upf
ATOMIC_POSITIONS crystal
P 0.794 0.206 0.206
P 0.206 0.794 0.794
Y 0.000 0.500 0.500
Cr 0.500 0.000 0.000
CELL_PARAMETERS angstrom
-0.971 -2.366 -2.873
3.301 -3.188 -1.065
-1.430 -4.260 1.416
```

Results
ΔH_f (0 K)   -0.807 eV/atom
Space group   Immm, No. 71



Entry from the Alexandria database: a PBEsol-optimized structure of InNi2Rh (SCAN). Values from VASP.

Structure (Quantum ESPRESSO input):
```
&SYSTEM
  ibrav = 0, nat = 4, ntyp = 3
/
ATOMIC_SPECIES
In 114.82 In.upf
Rh 102.91 Rh.upf
Ni 58.69 Ni.upf
ATOMIC_POSITIONS crystal
In 0.500 0.500 0.500
Rh 0.500 0.000 0.000
Ni 0.000 0.500 0.000
Ni 0.000 0.000 0.500
CELL_PARAMETERS angstrom
2.809 0.000 0.000
0.000 4.415 0.037
0.000 -1.089 4.279
```

Results
ΔH_f (0 K)   0.026 eV/atom
Space group   Cmmm, No. 65



Entry from the Alexandria database: a PBEsol-optimized structure of CuSn4S8 (SCAN). Values from VASP.

Structure (Quantum ESPRESSO input):
```
&SYSTEM
  ibrav = 0, nat = 13, ntyp = 3
/
ATOMIC_SPECIES
S 32.06 S.upf
Cu 63.55 Cu.upf
Sn 118.71 Sn.upf
ATOMIC_POSITIONS crystal
S 0.624 0.125 0.125
Cu 0.500 0.500 0.500
Sn 0.878 0.878 0.365
S 0.626 0.121 0.626
S 0.626 0.626 0.626
S 0.125 0.125 0.125
Sn 0.878 0.878 0.878
S 0.125 0.624 0.125
Sn 0.878 0.365 0.878
S 0.125 0.125 0.624
S 0.121 0.626 0.626
S 0.626 0.626 0.121
Sn 0.365 0.878 0.878
CELL_PARAMETERS angstrom
-2.043 -3.187 -6.317
-6.073 -4.159 -0.231
-5.974 2.403 -3.573
```

Results
Energy relative to the elements, uncorrected   -0.3896 eV per atom
Space group   F-43m, No. 216



Entry from the Alexandria database: a PBEsol-optimized structure of NiMoPt2 (SCAN). Values from VASP.

Structure (Quantum ESPRESSO input):
```
&SYSTEM
  ibrav = 0, nat = 4, ntyp = 3
/
ATOMIC_SPECIES
Ni 58.69 Ni.upf
Pt 195.08 Pt.upf
Mo 95.94 Mo.upf
ATOMIC_POSITIONS crystal
Ni 0.750 0.250 0.500
Pt 0.000 0.000 0.000
Mo 0.500 0.500 0.000
Pt 0.250 0.750 0.500
CELL_PARAMETERS angstrom
3.767 0.000 0.000
0.000 3.767 0.000
-1.883 -1.883 3.906
```

Results
ΔH_f (0 K)   -0.255 eV/atom
Space group   I-4m2, No. 119



Entry from the Alexandria database: a PBEsol-optimized structure of AgCCl2 (SCAN). Values from VASP.

Structure (Quantum ESPRESSO input):
```
&SYSTEM
  ibrav = 0, nat = 8, ntyp = 3
/
ATOMIC_SPECIES
Ag 107.87 Ag.upf
Cl 35.45 Cl.upf
C 12.01 C.upf
ATOMIC_POSITIONS crystal
Ag 0.250 0.750 0.500
Cl 0.125 0.182 0.750
Cl 0.818 0.375 0.250
C 0.750 0.250 0.500
Ag 0.000 0.000 0.000
C 0.500 0.500 0.000
Cl 0.432 0.875 0.250
Cl 0.625 0.568 0.750
CELL_PARAMETERS angstrom
5.011 0.000 0.000
0.000 5.011 0.000
-2.506 -2.506 6.501
```

Results
Energy relative to the elements, uncorrected   1.2010 eV per atom
Space group   I-42d, No. 122



Entry from the Alexandria database: a PBEsol-optimized structure of Ta3SN (SCAN). Values from VASP.

Structure (Quantum ESPRESSO input):
```
&SYSTEM
  ibrav = 0, nat = 5, ntyp = 3
/
ATOMIC_SPECIES
Ta 180.95 Ta.upf
N 14.01 N.upf
S 32.06 S.upf
ATOMIC_POSITIONS crystal
Ta 0.000 0.000 0.500
Ta 0.500 0.000 0.000
N 0.000 0.000 0.000
Ta 0.000 0.500 0.000
S 0.500 0.500 0.500
CELL_PARAMETERS angstrom
-0.381 -0.517 -4.132
4.135 -0.533 -0.315
-0.488 -4.115 0.560
```

Results
Energy relative to the elements, uncorrected   0.0138 eV per atom
Space group   Pm-3m, No. 221



Entry from the Alexandria database: a PBEsol-optimized structure of RbFeBP2HO9 (SCAN). Values from VASP.

Structure (Quantum ESPRESSO input):
```
&SYSTEM
  ibrav = 0, nat = 60, ntyp = 6
/
ATOMIC_SPECIES
O 16.00 O.upf
B 10.81 B.upf
P 30.97 P.upf
Fe 55.84 Fe.upf
H 1.01 H.upf
Rb 85.47 Rb.upf
ATOMIC_POSITIONS crystal
O 0.341 0.916 0.918
O 0.350 0.895 0.650
O 0.918 0.411 0.768
O 0.581 0.809 0.772
O 0.650 0.105 0.350
O 0.659 0.084 0.082
B 0.558 0.666 0.803
P 0.762 0.419 0.228
P 0.444 0.926 0.790
P 0.056 0.926 0.290
O 0.291 0.650 0.427
Fe 0.161 0.797 0.562
O 0.209 0.650 0.927
O 0.546 0.691 0.958
B 0.058 0.334 0.697
O 0.082 0.589 0.232
O 0.631 0.355 0.826
O 0.150 0.895 0.150
B 0.442 0.334 0.197
P 0.262 0.581 0.272
O 0.850 0.105 0.850
H 0.565 0.604 0.994
O 0.131 0.645 0.674
O 0.869 0.355 0.326
O 0.705 0.585 0.754
O 0.159 0.916 0.418
P 0.556 0.074 0.210
Fe 0.661 0.203 0.938
O 0.021 0.925 0.696
O 0.419 0.191 0.228
B 0.942 0.666 0.303
Rb 0.899 0.808 0.930
O 0.205 0.415 0.746
O 0.795 0.585 0.254
P 0.738 0.419 0.728
H 0.065 0.396 0.506
O 0.295 0.415 0.246
O 0.979 0.075 0.304
O 0.369 0.645 0.174
O 0.454 0.309 0.042
H 0.935 0.604 0.494
Rb 0.399 0.192 0.570
O 0.521 0.075 0.804
O 0.479 0.925 0.196
Rb 0.101 0.192 0.070
Fe 0.339 0.797 0.062
O 0.954 0.691 0.458
Rb 0.601 0.808 0.430
P 0.238 0.581 0.772
O 0.046 0.309 0.542
O 0.841 0.084 0.582
Fe 0.839 0.203 0.438
O 0.709 0.350 0.573
O 0.081 0.191 0.728
O 0.418 0.589 0.732
H 0.435 0.396 0.006
P 0.944 0.074 0.710
O 0.919 0.809 0.272
O 0.791 0.350 0.073
O 0.582 0.411 0.268
CELL_PARAMETERS angstrom
-2.951 -6.273 -4.686
8.751 -1.688 -3.252
-0.510 -5.662 7.900
```

Results
Space group   P2_1/c, No. 14



Entry from the Alexandria database: a PBEsol-optimized structure of AlGaOs2S (SCAN). Values from VASP.

Structure (Quantum ESPRESSO input):
```
&SYSTEM
  ibrav = 0, nat = 5, ntyp = 4
/
ATOMIC_SPECIES
Os 190.23 Os.upf
S 32.06 S.upf
Ga 69.72 Ga.upf
Al 26.98 Al.upf
ATOMIC_POSITIONS crystal
Os 0.000 0.500 0.000
S 0.000 0.000 0.000
Os 0.500 0.000 0.000
Ga 0.500 0.500 0.500
Al 0.000 0.000 0.500
CELL_PARAMETERS angstrom
-2.196 1.214 -3.563
3.513 -0.822 -2.445
-1.354 -4.106 -0.565
```

Results
Energy relative to the elements, uncorrected   1.0830 eV per atom
Space group   P4/mmm, No. 123



Entry from the Alexandria database: a PBEsol-optimized structure of KNiPd2I (SCAN). Values from VASP.

Structure (Quantum ESPRESSO input):
```
&SYSTEM
  ibrav = 0, nat = 5, ntyp = 4
/
ATOMIC_SPECIES
I 126.90 I.upf
K 39.10 K.upf
Ni 58.69 Ni.upf
Pd 106.42 Pd.upf
ATOMIC_POSITIONS crystal
I 0.000 0.000 0.500
K 0.500 0.500 0.500
Ni 0.000 0.000 0.000
Pd 0.500 0.000 0.000
Pd 0.000 0.500 0.000
CELL_PARAMETERS angstrom
-2.702 3.944 -0.427
-0.039 -0.543 -4.769
-4.024 -2.720 0.343
```

Results
Energy relative to the elements, uncorrected   0.2242 eV per atom
Space group   P4/mmm, No. 123



Entry from the Alexandria database: a PBEsol-optimized structure of Ag2CO3 (SCAN). Values from VASP.

Structure (Quantum ESPRESSO input):
```
&SYSTEM
  ibrav = 0, nat = 36, ntyp = 3
/
ATOMIC_SPECIES
Ag 107.87 Ag.upf
C 12.01 C.upf
O 16.00 O.upf
ATOMIC_POSITIONS crystal
Ag 0.673 0.750 0.346
C 0.167 0.417 0.333
Ag 0.074 0.756 0.648
C 0.667 0.417 0.333
O 0.252 0.017 0.504
O 0.296 0.677 0.092
O 0.880 0.246 0.763
O 0.168 0.658 0.836
Ag 0.000 0.096 0.000
Ag 0.753 0.397 0.006
O 0.714 0.841 0.927
O 0.382 0.246 0.763
O 0.867 0.988 0.733
Ag 0.826 0.404 0.654
O 0.120 0.483 0.237
C 0.250 0.750 0.000
Ag 0.570 0.744 0.641
O 0.247 0.513 0.496
O 0.618 0.483 0.237
Ag 0.327 0.404 0.654
O 0.634 0.254 0.267
C 0.333 0.083 0.667
O 0.133 0.254 0.267
O 0.366 0.988 0.733
O 0.704 0.586 0.908
C 0.833 0.083 0.667
Ag 0.926 0.109 0.352
O 0.286 0.914 0.073
O 0.753 0.017 0.504
Ag 0.430 0.103 0.359
Ag 0.500 0.096 0.000
C 0.750 0.750 0.000
O 0.748 0.513 0.496
O 0.832 0.822 0.164
Ag 0.174 0.750 0.346
Ag 0.247 0.391 0.994
CELL_PARAMETERS angstrom
-4.022 4.255 2.021
-5.662 -6.641 2.713
8.334 1.118 4.735
```

Results
Energy relative to the elements, uncorrected   -0.8163 eV per atom
Space group   Ima2, No. 46



Entry from the Alexandria database: a PBEsol-optimized structure of NaReMoAu2 (SCAN). Values from VASP.

Structure (Quantum ESPRESSO input):
```
&SYSTEM
  ibrav = 0, nat = 5, ntyp = 4
/
ATOMIC_SPECIES
Au 196.97 Au.upf
Mo 95.94 Mo.upf
Na 22.99 Na.upf
Re 186.21 Re.upf
ATOMIC_POSITIONS crystal
Au 0.000 0.500 0.000
Mo 0.000 0.000 0.000
Na 0.000 0.000 0.500
Re 0.500 0.500 0.500
Au 0.500 0.000 0.000
CELL_PARAMETERS angstrom
-1.442 -4.409 1.546
-0.934 -1.313 -4.617
4.721 -1.708 -0.469
```

Results
ΔH_f (0 K)   2.198 eV/atom
Space group   P4/mmm, No. 123



Entry from the Alexandria database: a PBEsol-optimized structure of YZrAu2 (SCAN). Values from VASP.

Structure (Quantum ESPRESSO input):
```
&SYSTEM
  ibrav = 0, nat = 4, ntyp = 3
/
ATOMIC_SPECIES
Au 196.97 Au.upf
Zr 91.22 Zr.upf
Y 88.91 Y.upf
ATOMIC_POSITIONS crystal
Au 0.746 0.746 0.763
Au 0.002 0.002 0.995
Zr 0.259 0.259 0.223
Y 0.494 0.494 0.518
CELL_PARAMETERS angstrom
-1.544 2.323 -1.891
0.373 -0.034 -3.349
-7.517 -4.577 -2.487
```

Results
ΔH_f (0 K)   -0.334 eV/atom
Space group   R3m, No. 160



Entry from the Alexandria database: a PBEsol-optimized structure of KCuSb3 (SCAN). Values from VASP.

Structure (Quantum ESPRESSO input):
```
&SYSTEM
  ibrav = 0, nat = 5, ntyp = 3
/
ATOMIC_SPECIES
Sb 121.76 Sb.upf
K 39.10 K.upf
Cu 63.55 Cu.upf
ATOMIC_POSITIONS crystal
Sb 0.000 0.500 0.000
K 0.000 0.000 0.000
Sb 0.500 0.000 0.000
Cu 0.500 0.500 0.500
Sb 0.000 0.000 0.500
CELL_PARAMETERS angstrom
-5.388 -1.319 1.112
1.663 -2.997 4.501
-0.461 4.613 3.242
```

Results
Energy relative to the elements, uncorrected   1.7687 eV per atom
Space group   Pm-3m, No. 221



Entry from the Alexandria database: a PBEsol-optimized structure of LiNiP3O9 (SCAN). Values from VASP.

Structure (Quantum ESPRESSO input):
```
&SYSTEM
  ibrav = 0, nat = 56, ntyp = 4
/
ATOMIC_SPECIES
O 16.00 O.upf
P 30.97 P.upf
Ni 58.69 Ni.upf
Li 6.94 Li.upf
ATOMIC_POSITIONS crystal
O 0.630 0.688 0.386
P 0.474 0.319 0.176
P 0.298 0.816 0.066
O 0.041 0.229 0.658
O 0.870 0.312 0.886
O 0.871 0.129 0.177
Ni 0.652 0.630 0.615
P 0.526 0.819 0.324
P 0.026 0.681 0.676
O 0.541 0.271 0.342
O 0.723 0.858 0.956
Ni 0.152 0.870 0.385
O 0.390 0.874 0.423
O 0.637 0.965 0.271
O 0.158 0.120 0.410
Li 0.631 0.353 0.842
O 0.087 0.389 0.141
O 0.130 0.812 0.614
Ni 0.848 0.370 0.115
O 0.913 0.889 0.359
P 0.202 0.184 0.566
O 0.863 0.035 0.771
O 0.363 0.465 0.229
O 0.223 0.642 0.044
O 0.137 0.535 0.729
O 0.959 0.729 0.842
P 0.313 0.472 0.691
O 0.811 0.416 0.336
P 0.798 0.684 0.934
O 0.129 0.629 0.323
O 0.777 0.142 0.456
Li 0.369 0.853 0.658
O 0.189 0.916 0.164
O 0.610 0.374 0.077
O 0.311 0.084 0.664
P 0.187 0.528 0.191
O 0.277 0.358 0.544
Li 0.131 0.147 0.158
O 0.342 0.880 0.910
P 0.687 0.972 0.809
O 0.689 0.584 0.836
O 0.413 0.611 0.641
O 0.370 0.188 0.114
P 0.702 0.316 0.434
Li 0.869 0.647 0.342
O 0.890 0.626 0.577
O 0.110 0.126 0.923
O 0.459 0.771 0.158
O 0.587 0.111 0.859
Ni 0.348 0.130 0.885
P 0.974 0.181 0.824
O 0.629 0.871 0.677
P 0.813 0.028 0.309
O 0.842 0.620 0.090
O 0.371 0.371 0.823
O 0.658 0.380 0.590
CELL_PARAMETERS angstrom
-3.116 3.979 -6.635
1.749 -6.671 -4.822
-7.857 -3.297 1.712
```

Results
Energy relative to the elements, uncorrected   -2.3298 eV per atom
Space group   P2_12_12_1, No. 19



no.,total energy (eV/atom),calculated volume (Å³/f.u.)
1,-7.237,28.21
2,-41.216,173.38
3,-39.186,38.14
4,-22.972,107.65
5,-17.270,192.91
6,-29.225,210.37
7,-17.563,69.74
8,-24.850,53.18
9,-18.536,282.41
10,-48.116,55.42
11,-13.155,81.63
12,-43.720,73.11
13,-10.737,188.30
14,-34.414,82.80
15,-25.134,112.16
16,-16.071,74.68
17,-47.504,120.55
18,-49.548,87.90
19,-25.293,181.04
20,-9.890,152.48